The following is a DFT calculation (PBE) of a geometry-optimized NpAl2Ag structure.

Lattice parameters (Å, degrees): 4.815 4.815 4.815 60.00 60.00 60.00
Last column: magnetic moment on the atom in μB.
Atoms (fractional coordinates):
Ag: 0.500 0.500 0.500  0.03
Al: 0.250 0.250 0.250  0.02
Al: 0.750 0.750 0.750  0.02
Np: 0.000 0.000 0.000  3.89

Summary:
* calculated formation energy: 154 meV/atom
* ΔE to the lowest computed polymorph: 161 meV per atom
* DFT total energy: -5.67 eV per atom
* symmetry: No. 225
* size of the total moment: 4.25 μB per formula unit